Density functional theory data (meta-GGA SCAN) for AgHg at its PBEsol-relaxed geometry.

a b c (Å): 3.0595 3.0595 4.9951
angles (deg): 72.17 72.17 60.00
With the nearest neighbours (Å) after each atom.
Atoms (fractional coordinates):
Hg 0.5000 0.5000 0.5000  6 Ag 2.93, 6 Hg 3.06
Ag 0.0000 0.0000 0.0000  6 Hg 2.93, 6 Ag 3.06

Output
- Total DFT energy (no corrections): -99.4 eV per cell
- Energy above the most stable polymorph in this dataset: 14 meV/atom
- SG: No. 166



Density functional theory data (meta-GGA SCAN) for Ag3Hg at its PBEsol-relaxed geometry.

a b c (Å): 2.9673 4.7430 4.9845
angles (deg): 90.00 90.00 90.00
With the nearest neighbours (Å) after each atom.
Atoms (fractional coordinates):
Hg 0.0000 0.5000 0.3359  10 Ag 2.89-2.93, 2 Hg 2.97
Ag 0.0000 0.0000 0.9921  10 Ag 2.86-2.97, 2 Hg 2.93
Ag 0.5000 0.0000 0.5014  8 Ag 2.86-2.97, 4 Hg 2.92
Ag 0.5000 0.5000 0.8372  4 Hg 2.89-2.91, 8 Ag 2.90-2.97

Output
- Total DFT energy (no corrections): -162.2 eV per cell
- SG: No. 25



Density functional theory data (meta-GGA SCAN) for AgHg at its PBEsol-relaxed geometry.

a b c (Å): 5.3583 5.3583 5.3583
angles (deg): 90.00 90.00 90.00
With the nearest neighbours (Å) after each atom.
Atoms (fractional coordinates):
Hg 0.1548 0.1548 0.1548  7 Ag 2.82-2.91
Hg 0.3452 0.8452 0.6548  7 Ag 2.82-2.91
Hg 0.6548 0.3452 0.8452  7 Ag 2.82-2.91
Hg 0.8452 0.6548 0.3452  7 Ag 2.82-2.91
Ag 0.1488 0.3512 0.6488  7 Hg 2.82-2.91
Ag 0.3512 0.6488 0.1488  7 Hg 2.82-2.91
Ag 0.6488 0.1488 0.3512  7 Hg 2.82-2.91
Ag 0.8512 0.8512 0.8512  7 Hg 2.82-2.91

Output
- Total DFT energy (no corrections): -397.5 eV per cell
- Energy above the most stable polymorph in this dataset: 21 meV/atom
- SG: No. 198



Density functional theory data (meta-GGA SCAN) for Ag3Hg at its PBEsol-relaxed geometry.

a b c (Å): 4.7803 5.8107 5.8107
angles (deg): 120.00 90.00 90.00
With the nearest neighbours (Å) after each atom.
Atoms (fractional coordinates):
Hg 0.7500 0.6667 0.3333  12 Ag 2.91-2.93
Hg 0.2500 0.3333 0.6667  12 Ag 2.91-2.93
Ag 0.7500 0.1646 0.3292  8 Ag 2.87-2.94, 4 Hg 2.91-2.93
Ag 0.2500 0.8354 0.6708  8 Ag 2.87-2.94, 4 Hg 2.91-2.93
Ag 0.7500 0.1646 0.8354  8 Ag 2.87-2.94, 4 Hg 2.91-2.93
Ag 0.2500 0.8354 0.1646  8 Ag 2.87-2.94, 4 Hg 2.91-2.93
Ag 0.7500 0.6708 0.8354  8 Ag 2.87-2.94, 4 Hg 2.91-2.93
Ag 0.2500 0.3292 0.1646  8 Ag 2.87-2.94, 4 Hg 2.91-2.93

Output
- Total DFT energy (no corrections): -324.4 eV per cell
- SG: No. 194



Density functional theory data (meta-GGA SCAN) for Ag3Hg at its PBEsol-relaxed geometry.

a b c (Å): 4.7773 5.0512 5.7894
angles (deg): 90.00 90.00 90.00
With the nearest neighbours (Å) after each atom.
Atoms (fractional coordinates):
Hg 0.0000 0.6661 0.0000  12 Ag 2.89-2.94
Hg 0.5000 0.3339 0.5000  12 Ag 2.89-2.94
Ag 0.5000 0.3283 0.0000  8 Ag 2.88-2.94, 4 Hg 2.89-2.94
Ag 0.0000 0.1646 0.7496  8 Ag 2.88-2.94, 4 Hg 2.91-2.92
Ag 0.5000 0.8354 0.7504  8 Ag 2.88-2.94, 4 Hg 2.91-2.92
Ag 0.0000 0.6717 0.5000  8 Ag 2.88-2.94, 4 Hg 2.89-2.94
Ag 0.0000 0.1646 0.2504  8 Ag 2.88-2.94, 4 Hg 2.91-2.92
Ag 0.5000 0.8354 0.2496  8 Ag 2.88-2.94, 4 Hg 2.91-2.92

Output
- Total DFT energy (no corrections): -324.4 eV per cell
- SG: No. 59



Density functional theory data (meta-GGA SCAN) for Ag3Hg at its PBEsol-relaxed geometry.

a b c (Å): 2.9604 2.9604 9.5115
angles (deg): 81.05 81.05 60.00
With the nearest neighbours (Å) after each atom.
Atoms (fractional coordinates):
Hg 0.0000 0.0000 0.0000  6 Hg 2.96, 6 Ag 2.96
Ag 0.2472 0.2472 0.2585  9 Ag 2.83-2.96, 3 Hg 2.96
Ag 0.5000 0.5000 0.5000  12 Ag 2.83-2.96
Ag 0.7528 0.7528 0.7415  9 Ag 2.83-2.96, 3 Hg 2.96

Output
- Total DFT energy (no corrections): -162.1 eV per cell
- SG: No. 166



Density functional theory data (meta-GGA SCAN) for Ag2Hg3 at its PBEsol-relaxed geometry.

a b c (Å): 3.0944 3.0944 11.9886
angles (deg): 82.58 82.58 60.00
With the nearest neighbours (Å) after each atom.
Atoms (fractional coordinates):
Hg 0.0000 0.0000 0.0000  6 Ag 2.91, 6 Hg 3.09
Hg 0.2032 0.2032 0.3904  3 Ag 2.93, 9 Hg 3.09-3.15
Hg 0.7968 0.7968 0.6096  3 Ag 2.93, 9 Hg 3.09-3.15
Ag 0.3980 0.3980 0.8059  6 Hg 2.91-2.93, 6 Ag 3.09
Ag 0.6020 0.6020 0.1941  6 Hg 2.91-2.93, 6 Ag 3.09

Output
- Total DFT energy (no corrections): -266.8 eV per cell
- SG: No. 166



Density functional theory data (meta-GGA SCAN) for Ag5Hg4 at its PBEsol-relaxed geometry.

a b c (Å): 4.2278 6.6261 6.6261
angles (deg): 84.16 71.40 71.40
With the nearest neighbours (Å) after each atom.
Atoms (fractional coordinates):
Hg 0.6780 0.3220 0.3220  7 Ag 2.86-2.99, 5 Hg 3.08-3.16
Hg 0.3220 0.6780 0.6780  7 Ag 2.86-2.99, 5 Hg 3.08-3.16
Hg 0.0000 0.3220 0.6780  7 Ag 2.86-2.99, 5 Hg 3.08-3.16
Hg 0.0000 0.6780 0.3220  7 Ag 2.86-2.99, 5 Hg 3.08-3.16
Ag 0.0000 0.0000 0.0000  4 Hg 2.86, 8 Ag 2.95
Ag 0.6634 0.6733 0.0000  6 Ag 2.90-3.03, 6 Hg 2.93-2.99
Ag 0.3366 0.0000 0.3267  6 Ag 2.90-3.03, 6 Hg 2.93-2.99
Ag 0.6634 0.0000 0.6733  6 Ag 2.90-3.03, 6 Hg 2.93-2.99
Ag 0.3366 0.3267 0.0000  6 Ag 2.90-3.03, 6 Hg 2.93-2.99

Output
- Total DFT energy (no corrections): -429.1 eV per cell
- SG: No. 139



Density functional theory data (meta-GGA SCAN) for AgHg at its PBEsol-relaxed geometry.

a b c (Å): 3.1011 3.1011 3.8812
angles (deg): 90.00 90.00 90.00
With the nearest neighbours (Å) after each atom.
Atoms (fractional coordinates):
Hg 0.5000 0.5000 0.5000  8 Ag 2.93, 4 Hg 3.10
Ag 0.0000 0.0000 0.0000  8 Hg 2.93, 4 Ag 3.10

Output
- Total DFT energy (no corrections): -99.4 eV per cell
- Energy above the most stable polymorph in this dataset: 13 meV/atom
- SG: No. 123



Density functional theory data (meta-GGA SCAN) for AgHg at its PBEsol-relaxed geometry.

a b c (Å): 4.1454 4.1454 5.2544
angles (deg): 113.23 113.23 90.00
With the nearest neighbours (Å) after each atom.
Atoms (fractional coordinates):
Hg 0.7500 0.2500 0.5000  8 Ag 2.93-3.01, 4 Hg 3.01
Hg 0.5000 0.5000 0.0000  8 Ag 2.93-3.01, 4 Hg 3.01
Ag 0.0000 0.0000 0.0000  8 Hg 2.93-3.01, 4 Ag 3.01
Ag 0.2500 0.7500 0.5000  8 Hg 2.93-3.01, 4 Ag 3.01

Output
- Total DFT energy (no corrections): -198.8 eV per cell
- Energy above the most stable polymorph in this dataset: 5 meV/atom
- SG: No. 141



Density functional theory data (meta-GGA SCAN) for Ag3Hg at its PBEsol-relaxed geometry.

a b c (Å): 5.1017 5.7870 9.5134
angles (deg): 90.00 90.00 90.00
With the nearest neighbours (Å) after each atom.
Atoms (fractional coordinates):
Ag 0.5787 0.1253 0.7500  4 Hg 2.84-2.95, 8 Ag 2.89-2.93
Ag 0.2462 0.6267 0.0012  9 Ag 2.89-2.98, 3 Hg 2.90-2.95
Ag 0.2462 0.6267 0.4988  9 Ag 2.89-2.98, 3 Hg 2.90-2.95
Ag 0.2538 0.1267 0.5012  9 Ag 2.89-2.98, 3 Hg 2.90-2.95
Ag 0.2538 0.1267 0.9988  9 Ag 2.89-2.98, 3 Hg 2.90-2.95
Ag 0.9213 0.6253 0.2500  4 Hg 2.84-2.95, 8 Ag 2.89-2.93
Ag 0.0787 0.3747 0.7500  4 Hg 2.84-2.95, 8 Ag 2.89-2.93
Ag 0.7462 0.8733 0.0012  9 Ag 2.89-2.98, 3 Hg 2.90-2.95
Ag 0.7462 0.8733 0.4988  9 Ag 2.89-2.98, 3 Hg 2.90-2.95
Ag 0.7538 0.3733 0.5012  9 Ag 2.89-2.98, 3 Hg 2.90-2.95
Ag 0.7538 0.3733 0.9988  9 Ag 2.89-2.98, 3 Hg 2.90-2.95
Ag 0.4213 0.8747 0.2500  4 Hg 2.84-2.95, 8 Ag 2.89-2.93
Hg 0.4229 0.3842 0.2500  10 Ag 2.84-2.95, 2 Hg 2.99
Hg 0.0771 0.8842 0.7500  10 Ag 2.84-2.95, 2 Hg 2.99
Hg 0.9229 0.1158 0.2500  10 Ag 2.84-2.95, 2 Hg 2.99
Hg 0.5771 0.6158 0.7500  10 Ag 2.84-2.95, 2 Hg 2.99

Output
- Total DFT energy (no corrections): -648.6 eV per cell
- SG: No. 62



Density functional theory data (meta-GGA SCAN) for AgHg4 at its PBEsol-relaxed geometry.

a b c (Å): 4.4119 5.3564 5.3564
angles (deg): 80.23 65.68 65.68
With the nearest neighbours (Å) after each atom.
Atoms (fractional coordinates):
Hg 0.7957 0.5980 0.8107  9 Hg 3.03-3.18, 3 Ag 3.06-3.09
Hg 0.2043 0.4020 0.1893  9 Hg 3.03-3.18, 3 Ag 3.06-3.09
Hg 0.6063 0.1893 0.5980  9 Hg 3.03-3.18, 3 Ag 3.06-3.09
Hg 0.3937 0.8107 0.4020  9 Hg 3.03-3.18, 3 Ag 3.06-3.09
Ag 0.0000 0.0000 0.0000  12 Hg 3.06-3.09

Output
- Total DFT energy (no corrections): -303.5 eV per cell
- SG: No. 87



Density functional theory data (meta-GGA SCAN) for AgHg at its PBEsol-relaxed geometry.

a b c (Å): 3.0260 5.5984 7.1634
angles (deg): 104.88 90.00 105.68
With the nearest neighbours (Å) after each atom.
Atoms (fractional coordinates):
Hg 0.6722 0.3444 0.3322  7 Ag 2.90-3.00, 5 Hg 2.98-3.12
Hg 0.0424 0.0848 0.6111  6 Ag 2.88-3.00, 6 Hg 3.03-3.12
Hg 0.7281 0.4562 0.9467  7 Ag 2.86-3.00, 5 Hg 2.98-3.08
Ag 0.0003 0.0005 0.0005  6 Hg 2.86-3.00, 6 Ag 2.93-3.03
Ag 0.3954 0.7908 0.2734  7 Hg 2.90-2.97, 5 Ag 2.93-3.11
Ag 0.3283 0.6565 0.6695  7 Hg 2.88-3.00, 5 Ag 3.00-3.11

Output
- Total DFT energy (no corrections): -298.2 eV per cell
- Energy above the most stable polymorph in this dataset: 8 meV/atom
- SG: No. 8



Density functional theory data (meta-GGA SCAN) for AgHg at its PBEsol-relaxed geometry.

a b c (Å): 3.0237 4.8538 5.1292
angles (deg): 90.00 90.00 90.00
With the nearest neighbours (Å) after each atom.
Atoms (fractional coordinates):
Hg 0.0000 0.5000 0.8972  6 Ag 2.90-3.05, 6 Hg 3.02-3.05
Hg 0.5000 0.0000 0.1028  6 Ag 2.90-3.05, 6 Hg 3.02-3.05
Ag 0.0000 0.0000 0.5856  6 Hg 2.90-3.05, 6 Ag 2.99-3.02
Ag 0.5000 0.5000 0.4144  6 Hg 2.90-3.05, 6 Ag 2.99-3.02

Output
- Total DFT energy (no corrections): -198.8 eV per cell
- Energy above the most stable polymorph in this dataset: 16 meV/atom
- SG: No. 59



Density functional theory data (meta-GGA SCAN) for Ag3Hg at its PBEsol-relaxed geometry.

a b c (Å): 2.9658 5.0188 5.0168
angles (deg): 99.70 90.00 107.19
With the nearest neighbours (Å) after each atom.
Atoms (fractional coordinates):
Hg 0.5000 0.0000 0.0000  10 Ag 2.89-2.93, 2 Hg 2.97
Ag 0.7477 0.4955 0.7445  9 Ag 2.87-2.97, 3 Hg 2.89-2.93
Ag 0.2523 0.5045 0.2555  9 Ag 2.87-2.97, 3 Hg 2.89-2.93
Ag 0.0000 0.0000 0.5000  8 Ag 2.88-2.97, 4 Hg 2.91

Output
- Total DFT energy (no corrections): -162.2 eV per cell
- SG: No. 12



Density functional theory data (meta-GGA SCAN) for AgHg at its PBEsol-relaxed geometry.

a b c (Å): 3.5052 3.5052 6.1855
angles (deg): 90.00 90.00 90.00
With the nearest neighbours (Å) after each atom.
Atoms (fractional coordinates):
Hg 0.5000 0.0000 0.3585  5 Ag 2.90-2.93, 4 Hg 3.03
Hg 0.0000 0.5000 0.6415  5 Ag 2.90-2.93, 4 Hg 3.03
Ag 0.5000 0.0000 0.8849  4 Ag 2.86, 5 Hg 2.90-2.93
Ag 0.0000 0.5000 0.1151  4 Ag 2.86, 5 Hg 2.90-2.93

Output
- Total DFT energy (no corrections): -198.8 eV per cell
- Energy above the most stable polymorph in this dataset: 19 meV/atom
- SG: No. 129



Density functional theory data (meta-GGA SCAN) for Ag3Hg at its PBEsol-relaxed geometry.

a b c (Å): 5.2481 5.2481 5.2481
angles (deg): 90.00 90.00 90.00
With the nearest neighbours (Å) after each atom.
Atoms (fractional coordinates):
Hg 0.0000 0.0000 0.0000  12 Ag 2.93
Hg 0.5000 0.5000 0.5000  12 Ag 2.93
Ag 0.0000 0.2500 0.5000  2 Ag 2.62, 4 Hg 2.93
Ag 0.0000 0.7500 0.5000  2 Ag 2.62, 4 Hg 2.93
Ag 0.2500 0.5000 0.0000  2 Ag 2.62, 4 Hg 2.93
Ag 0.5000 0.0000 0.2500  2 Ag 2.62, 4 Hg 2.93
Ag 0.5000 0.0000 0.7500  2 Ag 2.62, 4 Hg 2.93
Ag 0.7500 0.5000 0.0000  2 Ag 2.62, 4 Hg 2.93

Output
- Total DFT energy (no corrections): -323.7 eV per cell
- SG: No. 223



Density functional theory data (meta-GGA SCAN) for Ag8Hg at its PBEsol-relaxed geometry.

a b c (Å): 4.0403 6.4744 6.4744
angles (deg): 84.41 71.82 71.82
With the nearest neighbours (Å) after each atom.
Atoms (fractional coordinates):
Ag 0.0000 0.6643 0.3357  11 Ag 2.86-2.89, 1 Hg 2.92
Ag 0.0000 0.3357 0.6643  11 Ag 2.86-2.89, 1 Hg 2.92
Ag 0.3357 0.6643 0.6643  11 Ag 2.86-2.89, 1 Hg 2.92
Ag 0.3309 0.3382 0.0000  10 Ag 2.84-2.94, 2 Hg 2.90
Ag 0.3309 0.0000 0.3382  10 Ag 2.84-2.94, 2 Hg 2.90
Ag 0.6643 0.3357 0.3357  11 Ag 2.86-2.89, 1 Hg 2.92
Ag 0.6691 0.0000 0.6618  10 Ag 2.84-2.94, 2 Hg 2.90
Ag 0.6691 0.6618 0.0000  10 Ag 2.84-2.94, 2 Hg 2.90
Hg 0.0000 0.0000 0.0000  12 Ag 2.90-2.92

Output
- Total DFT energy (no corrections): -319.0 eV per cell
- SG: No. 139



Density functional theory data (meta-GGA SCAN) for AgHg at its PBEsol-relaxed geometry.

a b c (Å): 2.9869 5.0845 5.6381
angles (deg): 113.84 105.36 90.00
With the nearest neighbours (Å) after each atom.
Atoms (fractional coordinates):
Hg 0.8818 0.7071 0.7637  7 Ag 2.93-2.98, 5 Hg 2.99-3.13
Hg 0.1182 0.2929 0.2363  7 Ag 2.93-2.98, 5 Hg 2.99-3.13
Ag 0.3671 0.1998 0.7342  5 Ag 2.92-3.21, 7 Hg 2.93-2.98
Ag 0.6329 0.8002 0.2658  5 Ag 2.92-3.21, 7 Hg 2.93-2.98

Output
- Total DFT energy (no corrections): -198.8 eV per cell
- Energy above the most stable polymorph in this dataset: 8 meV/atom
- SG: No. 12



Density functional theory data (meta-GGA SCAN) for AgHg at its PBEsol-relaxed geometry.

a b c (Å): 2.9902 4.7961 5.2006
angles (deg): 90.00 90.00 90.00
With the nearest neighbours (Å) after each atom.
Atoms (fractional coordinates):
Hg 0.5000 0.2500 0.8252  8 Ag 2.95-3.05, 4 Hg 2.99-3.01
Hg 0.5000 0.7500 0.1748  8 Ag 2.95-3.05, 4 Hg 2.99-3.01
Ag 0.0000 0.2500 0.3362  4 Ag 2.94-2.99, 8 Hg 2.95-3.05
Ag 0.0000 0.7500 0.6638  4 Ag 2.94-2.99, 8 Hg 2.95-3.05

Output
- Total DFT energy (no corrections): -198.8 eV per cell
- Energy above the most stable polymorph in this dataset: 2 meV/atom
- SG: No. 51